No. 1
Computed, not measured: crystalline FeSiCl2 at its relaxed geometry at the PBE-GGA level of DFT.

It has space group C2/m (No. 12), with a = 6.805 Å, b = 7.542 Å, c = 3.065 Å, α = 90.00°, β = 90.34° and γ = 90.00°. The asymmetric unit holds Fe at (0.000, 0.000, 0.000), Si at (0.000, 0.500, 0.000) and Cl at (0.250, 0.250, 0.000).


No. 2
Computed, not measured: crystalline FeSiCl at its relaxed geometry at the PBE-GGA level of DFT.

It has space group F-43m (No. 216), with a = 5.686 Å, b = 5.686 Å, c = 5.686 Å, α = 90.00°, β = 90.00° and γ = 90.00°. The asymmetric unit holds Fe at (0.000, 0.000, 0.000), Si at (0.250, 0.250, 0.250) and Cl at (0.250, 0.250, 0.750).


No. 3
Computed, not measured: crystalline FeSiCl at its relaxed geometry at the PBE-GGA level of DFT.

It has space group Cm (No. 8), with a = 7.827 Å, b = 3.213 Å, c = 9.329 Å, α = 90.00°, β = 92.29° and γ = 90.00°. The asymmetric unit holds Fe at (0.000, 0.000, 0.000), Fe at (0.144, 0.000, 0.257), Si at (0.209, 0.500, 0.060), Si at (0.428, 0.000, 0.173), Cl at (0.194, 0.500, 0.432) and Cl at (0.485, 0.500, 0.776).


No. 4
Computed, not measured: crystalline FeSiCl2 at its relaxed geometry at the PBE-GGA level of DFT.

It has space group Cmmm (No. 65), with a = 3.095 Å, b = 5.828 Å, c = 8.753 Å, α = 90.00°, β = 90.00° and γ = 90.00°. The asymmetric unit holds Fe at (0.000, 0.000, 0.000), Si at (0.000, 0.000, 0.500) and Cl at (0.000, 0.500, 0.205).


Number 1: raw total energy -4.066 eV/atom, uncorrected formation energy 1.32 eV per formula unit, DOS(E_F) 6.672 states/eV per cell. Number 2: raw total energy -4.736 eV/atom, uncorrected formation energy 1.52 eV per formula unit, DOS(E_F) 15.961 states/eV per cell. Number 3: raw total energy -5.509 eV/atom, uncorrected formation energy -0.80 eV per formula unit, DOS(E_F) 7.213 states/eV per cell. Number 4: raw total energy -4.211 eV/atom, uncorrected formation energy 0.73 eV per formula unit, DOS(E_F) 5.563 states/eV per cell.